Material: Tb4TmTl2
Method: DFT, GGA-PBE
State: relaxed

Cell lengths 6.7683, 10.0654, 12.4937 Å; angles 90.00, 90.00, 90.00 degrees
Space group Fmmm (No. 69)
Unique sites:
Tb: 0.2500 0.2500 0.0000 [8 per cell]
Tb: 0.2500 0.2500 0.2500 [8 per cell]
Tm: 0.0000 0.0000 0.0000 [4 per cell]
Tl: 0.0000 0.0000 0.3691 [8 per cell]

Results
The value obtained for the calculated volume is 851 Å³/cell. As for the size of the total moment: 0.00 μB per cell. The energy of formation from the pure elements comes out at 156 meV/atom. As for the crystal system: orthorhombic. The value obtained for the total energy is -106.5 eV for the cell shown.